Record 1
Below is crystalline YThCoPt at its relaxed geometry, with properties calculated at the PBE level.

Values from the calculation:
M_tot: 0.000 μB per atom
Offset from the most stable computed form: 0 meV/atom

a b c (Å): 4.0812 3.8042 11.2595
angles (deg): 90.00 90.00 90.00
With the nearest neighbours (Å) after each atom.
Space group Amm2 (No. 38)
Inequivalent atoms, fractional coordinates:
Y: 0.0000 0.0000 0.0000 (multiplicity 2)  4 Pt 2.88, 1 Co 2.90
Th: 0.5000 0.0000 0.7201 (multiplicity 2)  4 Co 2.82, 2 Pt 3.08
Co: 0.0000 0.0000 0.2577 (multiplicity 2)  4 Th 2.82, 2 Pt 2.86, 1 Y 2.90
Pt: 0.5000 0.0000 0.4358 (multiplicity 2)  2 Co 2.86, 4 Y 2.88, 3 Th 3.08-3.20

---

Record 2
Below is crystalline Y4HoEr15 at its relaxed geometry, with properties calculated at the PBE level.

Values from the calculation:
M_tot: 0.000 μB per atom
Raw total energy: -98.4 eV for the cell shown

a b c (Å): 4.9779 4.9779 24.8949
angles (deg): 90.00 90.00 90.00
With the nearest neighbours (Å) after each atom.
Space group P4/mmm (No. 123)
Inequivalent atoms, fractional coordinates:
Y: 0.0000 0.0000 0.1001 (multiplicity 2)  12 Er 3.52
Y: 0.0000 0.0000 0.3003 (multiplicity 2)  12 Er 3.52-3.53
Ho: 0.0000 0.0000 0.5000 (multiplicity 1)  12 Er 3.51-3.52
Er: 0.0000 0.5000 0.0000 (multiplicity 2)  8 Er 3.52, 4 Y 3.52
Er: 0.0000 0.5000 0.2003 (multiplicity 4)  8 Er 3.52, 4 Y 3.52
Er: 0.0000 0.5000 0.4007 (multiplicity 4)  2 Ho 3.51, 8 Er 3.51-3.52, 2 Y 3.53
Er: 0.5000 0.5000 0.1001 (multiplicity 2)  4 Y 3.52, 8 Er 3.52
Er: 0.5000 0.5000 0.3004 (multiplicity 2)  4 Y 3.52, 8 Er 3.52
Er: 0.5000 0.5000 0.5000 (multiplicity 1)  8 Er 3.51, 4 Ho 3.52